# 1
! NaTlIrI2 PBE-GGA optimized geometry; values from VASP
&SYSTEM
  ibrav = 0, nat = 5, ntyp = 4
/
ATOMIC_SPECIES
I 126.90 I.upf
Na 22.99 Na.upf
Tl 204.38 Tl.upf
Ir 192.22 Ir.upf
CELL_PARAMETERS angstrom
6.309 0.000 0.000
0.000 5.988 0.000
0.000 0.000 6.309
ATOMIC_POSITIONS angstrom
I 0.000 0.000 3.155
I 3.155 0.000 0.000
Na 0.000 2.994 0.000
Tl 0.000 0.000 0.000
Ir 3.155 2.994 3.155
! - formation energy (no corrections) (meV/atom) = 1073
! - DFT total energy (eV/atom) = -2.057
! - size of the total moment (Bohr magnetons per cell) = 3.01


# 2
! NbIr2I PBE-GGA optimized geometry; values from VASP
&SYSTEM
  ibrav = 0, nat = 4, ntyp = 3
/
ATOMIC_SPECIES
I 126.90 I.upf
Nb 92.91 Nb.upf
Ir 192.22 Ir.upf
CELL_PARAMETERS angstrom
0.000 3.316 3.316
3.316 0.000 3.316
3.316 3.316 0.000
ATOMIC_POSITIONS angstrom
I 3.316 3.316 3.316
Nb 0.000 0.000 0.000
Ir 1.658 1.658 1.658
Ir 4.974 4.974 4.974
! - formation energy (no corrections) (meV/atom) = 812
! - DFT total energy (eV/atom) = -6.524
! - size of the total moment (Bohr magnetons per cell) = 0.00
! - offset from the most stable computed form (meV per atom) = 100


# 3
! NbIr3I PBE-GGA optimized geometry; values from VASP
&SYSTEM
  ibrav = 0, nat = 5, ntyp = 3
/
ATOMIC_SPECIES
I 126.90 I.upf
Nb 92.91 Nb.upf
Ir 192.22 Ir.upf
CELL_PARAMETERS angstrom
4.796 0.000 0.000
0.000 4.796 0.000
0.000 0.000 4.796
ATOMIC_POSITIONS angstrom
I 0.000 0.000 0.000
Nb 2.398 2.398 2.398
Ir 0.000 2.398 0.000
Ir 0.000 0.000 2.398
Ir 2.398 0.000 0.000
! - formation energy (no corrections) (meV/atom) = 2059
! - DFT total energy (eV/atom) = -5.582
! - size of the total moment (Bohr magnetons per cell) = 0.00
! - offset from the most stable computed form (meV per atom) = 417


# 4
! NbIrI2 PBE-GGA optimized geometry; values from VASP
&SYSTEM
  ibrav = 0, nat = 4, ntyp = 3
/
ATOMIC_SPECIES
I 126.90 I.upf
Nb 92.91 Nb.upf
Ir 192.22 Ir.upf
CELL_PARAMETERS angstrom
1.779 3.283 3.162
-2.920 1.942 3.413
0.596 -1.207 4.704
ATOMIC_POSITIONS angstrom
I -0.136 1.004 2.820
I -0.408 3.013 8.459
Nb 0.000 0.000 0.000
Ir -0.272 2.009 5.639
! - formation energy (no corrections) (meV/atom) = 897
! - DFT total energy (eV/atom) = -4.610
! - size of the total moment (Bohr magnetons per cell) = 0.00
! - offset from the most stable computed form (meV per atom) = 0


# 5
! NbIrI2 PBE-GGA optimized geometry; values from VASP
&SYSTEM
  ibrav = 0, nat = 8, ntyp = 3
/
ATOMIC_SPECIES
I 126.90 I.upf
Nb 92.91 Nb.upf
Ir 192.22 Ir.upf
CELL_PARAMETERS angstrom
6.138 0.000 0.000
0.000 6.138 0.000
3.069 3.069 6.214
ATOMIC_POSITIONS angstrom
I 4.725 1.535 1.554
I 1.413 4.604 1.554
I 4.604 4.482 4.661
I 7.673 7.794 4.661
Nb 3.069 3.069 0.000
Nb 3.069 6.138 3.107
Ir 0.000 0.000 0.000
Ir 6.138 3.069 3.107
! - formation energy (no corrections) (meV/atom) = 963
! - DFT total energy (eV/atom) = -4.545
! - size of the total moment (Bohr magnetons per cell) = 3.42
! - offset from the most stable computed form (meV per atom) = 65


# 6
! NbIr3I PBE-GGA optimized geometry; values from VASP
&SYSTEM
  ibrav = 0, nat = 5, ntyp = 3
/
ATOMIC_SPECIES
I 126.90 I.upf
Nb 92.91 Nb.upf
Ir 192.22 Ir.upf
CELL_PARAMETERS angstrom
-4.780 -0.401 0.730
0.321 -4.812 -0.539
0.768 -0.482 4.767
ATOMIC_POSITIONS angstrom
I -1.846 -2.847 2.479
Nb 0.000 0.000 0.000
Ir 0.161 -2.406 -0.269
Ir 0.384 -0.241 2.383
Ir -2.390 -0.200 0.365
! - formation energy (no corrections) (meV/atom) = 1642
! - DFT total energy (eV/atom) = -5.999
! - size of the total moment (Bohr magnetons per cell) = 0.00
! - offset from the most stable computed form (meV per atom) = 0


# 7
! NbIr2I PBE-GGA optimized geometry; values from VASP
&SYSTEM
  ibrav = 0, nat = 8, ntyp = 3
/
ATOMIC_SPECIES
I 126.90 I.upf
Nb 92.91 Nb.upf
Ir 192.22 Ir.upf
CELL_PARAMETERS angstrom
6.261 0.000 0.000
0.000 6.261 0.000
3.130 3.130 5.173
ATOMIC_POSITIONS angstrom
I 0.000 0.000 0.000
I 6.261 3.130 2.586
Nb 3.130 3.130 0.000
Nb 3.130 6.261 2.586
Ir 4.583 1.565 1.293
Ir 1.678 4.696 1.293
Ir 4.696 4.809 3.879
Ir 7.826 7.713 3.879
! - formation energy (no corrections) (meV/atom) = 712
! - DFT total energy (eV/atom) = -6.623
! - size of the total moment (Bohr magnetons per cell) = 0.00
! - offset from the most stable computed form (meV per atom) = 0


# 8
! NbIrIO2 PBE-GGA optimized geometry; values from VASP
&SYSTEM
  ibrav = 0, nat = 5, ntyp = 4
/
ATOMIC_SPECIES
I 126.90 I.upf
Nb 92.91 Nb.upf
Ir 192.22 Ir.upf
O 16.00 O.upf
CELL_PARAMETERS angstrom
-1.824 -1.474 -3.111
1.543 -3.497 0.752
-4.907 -1.404 3.542
ATOMIC_POSITIONS angstrom
I -2.454 -0.702 1.771
Nb 0.000 0.000 0.000
Ir -2.594 -3.187 0.592
O 0.772 -1.749 0.376
O -0.912 -0.737 -1.555
! - formation energy (no corrections) (meV/atom) = -566
! - DFT total energy (eV/atom) = -6.645
! - size of the total moment (Bohr magnetons per cell) = 0.60
! - offset from the most stable computed form (meV per atom) = 0


# 9
! NbIrI2O PBE-GGA optimized geometry; values from VASP
&SYSTEM
  ibrav = 0, nat = 5, ntyp = 4
/
ATOMIC_SPECIES
I 126.90 I.upf
Nb 92.91 Nb.upf
Ir 192.22 Ir.upf
O 16.00 O.upf
CELL_PARAMETERS angstrom
-3.921 -2.407 3.232
3.902 -1.142 3.883
-0.665 3.275 1.632
ATOMIC_POSITIONS angstrom
I 1.951 -0.571 1.941
I -1.960 -1.203 1.616
Nb -0.342 -0.137 4.373
Ir 0.000 0.000 0.000
O -0.333 1.638 0.816
! - formation energy (no corrections) (meV/atom) = 437
! - DFT total energy (eV/atom) = -4.961
! - size of the total moment (Bohr magnetons per cell) = 3.30
! - offset from the most stable computed form (meV per atom) = 165


# 10
! NbIrI2O PBE-GGA optimized geometry; values from VASP
&SYSTEM
  ibrav = 0, nat = 5, ntyp = 4
/
ATOMIC_SPECIES
I 126.90 I.upf
Nb 92.91 Nb.upf
Ir 192.22 Ir.upf
O 16.00 O.upf
CELL_PARAMETERS angstrom
5.553 0.000 0.000
0.000 5.553 0.000
0.000 0.000 3.832
ATOMIC_POSITIONS angstrom
I 0.000 2.777 0.000
I 2.777 0.000 0.000
Nb 0.000 0.000 0.000
Ir 2.777 2.777 1.916
O 0.000 0.000 1.916
! - formation energy (no corrections) (meV/atom) = 272
! - DFT total energy (eV/atom) = -5.126
! - size of the total moment (Bohr magnetons per cell) = 1.67
! - offset from the most stable computed form (meV per atom) = 0


# 11
! NbIrIO2 PBE-GGA optimized geometry; values from VASP
&SYSTEM
  ibrav = 0, nat = 5, ntyp = 4
/
ATOMIC_SPECIES
I 126.90 I.upf
Nb 92.91 Nb.upf
Ir 192.22 Ir.upf
O 16.00 O.upf
CELL_PARAMETERS angstrom
-1.664 -3.040 -1.659
1.965 0.688 -3.230
5.712 -4.499 2.515
ATOMIC_POSITIONS angstrom
I 2.856 -2.250 1.258
Nb 3.006 -3.426 -1.187
Ir 0.000 0.000 0.000
O 0.982 0.344 -1.615
O -0.832 -1.520 -0.830
! - formation energy (no corrections) (meV/atom) = 344
! - DFT total energy (eV/atom) = -5.736
! - size of the total moment (Bohr magnetons per cell) = 3.44
! - offset from the most stable computed form (meV per atom) = 910


# 12
! Rb2NbIrI PBE-GGA optimized geometry; values from VASP
&SYSTEM
  ibrav = 0, nat = 5, ntyp = 4
/
ATOMIC_SPECIES
I 126.90 I.upf
Nb 92.91 Nb.upf
Ir 192.22 Ir.upf
Rb 85.47 Rb.upf
CELL_PARAMETERS angstrom
-4.165 -5.567 0.871
3.762 -2.689 0.800
-0.450 1.409 6.849
ATOMIC_POSITIONS angstrom
I -0.426 -3.424 4.260
Nb 0.000 0.000 0.000
Ir 1.881 -1.345 0.400
Rb -0.225 0.704 3.425
Rb -2.082 -2.784 0.436
! - formation energy (no corrections) (meV/atom) = 561
! - DFT total energy (eV/atom) = -3.922
! - size of the total moment (Bohr magnetons per cell) = 2.18


# 13
! Rb2NbIrI6 PBE-GGA optimized geometry; values from VASP
&SYSTEM
  ibrav = 0, nat = 10, ntyp = 4
/
ATOMIC_SPECIES
I 126.90 I.upf
Nb 92.91 Nb.upf
Ir 192.22 Ir.upf
Rb 85.47 Rb.upf
CELL_PARAMETERS angstrom
8.091 0.000 0.000
0.000 8.091 0.000
4.046 4.046 5.728
ATOMIC_POSITIONS angstrom
I 4.046 4.046 2.926
I 8.091 8.091 2.802
I 1.979 1.979 0.000
I 6.113 6.113 0.000
I 6.113 1.979 0.000
I 1.979 6.113 0.000
Nb 4.046 4.046 0.000
Ir 0.000 0.000 0.000
Rb 8.091 4.046 2.864
Rb 4.046 8.091 2.864
! - formation energy (no corrections) (meV/atom) = -417
! - DFT total energy (eV/atom) = -3.434
! - size of the total moment (Bohr magnetons per cell) = 3.99